10
Lattice="-2.557 3.360 8.388 2.557 -3.360 8.388 2.557 3.360 -8.388" Properties=species:S:1:pos:R:3 comment="SmTl4 GGA-PBE relaxed" space_group="No. 74" relative_energy_mev_per_atom=0.0 e_form_ev_per_fu=-0.77 magnetic_moment_mub_per_atom=0.00 pbc="T T T"
Sm 0.000 1.680 1.468
Sm 2.557 1.680 6.920
Tl 2.557 0.000 0.000
Tl 2.557 -1.680 6.511
Tl 2.557 0.070 3.298
Tl 0.000 0.070 5.090
Tl 0.000 0.000 8.388
Tl 2.557 3.290 3.298
Tl 0.000 3.290 5.090
Tl 0.000 5.040 1.876